# 1
VASP calculation (PBE) on an optimized crystal structure of Ho3InNi.

Structure (CIF):
```
data_Ho3InNi
_chemical_formula_sum 'Ho3 In1 Ni1'
_space_group_name_H-M_alt 'P 1'
_space_group_IT_number 1
_cell_length_a 5.162
_cell_length_b 5.162
_cell_length_c 5.162
_cell_angle_alpha 90.00
_cell_angle_beta 90.00
_cell_angle_gamma 90.00
loop_
_space_group_symop_operation_xyz
'x,y,z'
loop_
_atom_site_label
_atom_site_type_symbol
_atom_site_fract_x
_atom_site_fract_y
_atom_site_fract_z
Ho1 Ho 0.000 0.000 0.500
Ho2 Ho 0.000 0.500 0.000
Ho3 Ho 0.500 0.000 0.000
In1 In 0.500 0.500 0.500
Ni1 Ni 0.000 0.000 0.000
```

Its symmetry is Pm-3m, No. 221. As for the formation energy: -0.221 eV per atom.

# 2
VASP calculation (PBE) on an optimized crystal structure of SbTe2Pt.

Structure (CIF):
```
data_SbTe2Pt
_chemical_formula_sum 'Sb4 Te8 Pt4'
_space_group_name_H-M_alt 'P 1'
_space_group_IT_number 1
_cell_length_a 7.246
_cell_length_b 7.246
_cell_length_c 7.246
_cell_angle_alpha 90.00
_cell_angle_beta 90.00
_cell_angle_gamma 90.00
loop_
_space_group_symop_operation_xyz
'x,y,z'
loop_
_atom_site_label
_atom_site_type_symbol
_atom_site_fract_x
_atom_site_fract_y
_atom_site_fract_z
Sb1 Sb 0.000 0.000 0.000
Sb2 Sb 0.000 0.500 0.500
Sb3 Sb 0.500 0.000 0.500
Sb4 Sb 0.500 0.500 0.000
Te1 Te 0.000 0.000 0.500
Te2 Te 0.000 0.500 0.000
Te3 Te 0.250 0.250 0.750
Te4 Te 0.250 0.750 0.250
Te5 Te 0.500 0.000 0.000
Te6 Te 0.500 0.500 0.500
Te7 Te 0.750 0.250 0.250
Te8 Te 0.750 0.750 0.750
Pt1 Pt 0.250 0.250 0.250
Pt2 Pt 0.250 0.750 0.750
Pt3 Pt 0.750 0.250 0.750
Pt4 Pt 0.750 0.750 0.250
```

Its symmetry is F-43m, No. 216. For the formation energy without anion corrections, the calculation gives 0.349 eV per atom.

# 3
VASP calculation (PBE) on an optimized crystal structure of PrAg3Te3.

Structure (CIF):
```
data_PrAg3Te3
_chemical_formula_sum 'Pr2 Ag6 Te6'
_space_group_name_H-M_alt 'P 1'
_space_group_IT_number 1
_cell_length_a 8.707
_cell_length_b 8.707
_cell_length_c 8.707
_cell_angle_alpha 54.58
_cell_angle_beta 54.58
_cell_angle_gamma 54.58
loop_
_space_group_symop_operation_xyz
'x,y,z'
loop_
_atom_site_label
_atom_site_type_symbol
_atom_site_fract_x
_atom_site_fract_y
_atom_site_fract_z
Pr1 Pr 0.166 0.166 0.166
Pr2 Pr 0.834 0.834 0.834
Ag1 Ag 0.016 0.371 0.737
Ag2 Ag 0.263 0.984 0.629
Ag3 Ag 0.371 0.737 0.016
Ag4 Ag 0.629 0.263 0.984
Ag5 Ag 0.737 0.016 0.371
Ag6 Ag 0.984 0.629 0.263
Te1 Te 0.106 0.738 0.425
Te2 Te 0.262 0.575 0.894
Te3 Te 0.425 0.106 0.738
Te4 Te 0.575 0.894 0.262
Te5 Te 0.738 0.425 0.106
Te6 Te 0.894 0.262 0.575
```

Its symmetry is R-3, No. 148. For the formation energy without anion corrections, the calculation gives -0.577 eV per atom.

# 4
VASP calculation (PBE) on an optimized crystal structure of TbCu6Ni4.

Structure (CIF):
```
data_TbCu6Ni4
_chemical_formula_sum 'Tb1 Cu6 Ni4'
_space_group_name_H-M_alt 'P 1'
_space_group_IT_number 1
_cell_length_a 6.116
_cell_length_b 6.116
_cell_length_c 6.116
_cell_angle_alpha 120.83
_cell_angle_beta 120.83
_cell_angle_gamma 88.56
loop_
_space_group_symop_operation_xyz
'x,y,z'
loop_
_atom_site_label
_atom_site_type_symbol
_atom_site_fract_x
_atom_site_fract_y
_atom_site_fract_z
Tb1 Tb 0.000 0.000 0.000
Cu1 Cu 0.000 0.500 0.500
Cu2 Cu 0.254 0.556 0.000
Cu3 Cu 0.444 0.444 0.697
Cu4 Cu 0.500 0.000 0.500
Cu5 Cu 0.556 0.254 0.000
Cu6 Cu 0.746 0.746 0.303
Ni1 Ni 0.102 0.102 0.558
Ni2 Ni 0.456 0.898 0.000
Ni3 Ni 0.544 0.544 0.442
Ni4 Ni 0.898 0.456 0.000
```

Its symmetry is I-42m, No. 121. As for the formation energy: 0.211 eV per atom.

# 5
VASP calculation (PBE) on an optimized crystal structure of In2Pb13.

Structure (CIF):
```
data_In2Pb13
_chemical_formula_sum 'In2 Pb13'
_space_group_name_H-M_alt 'P 1'
_space_group_IT_number 1
_cell_length_a 7.891
_cell_length_b 7.931
_cell_length_c 8.634
_cell_angle_alpha 67.88
_cell_angle_beta 68.56
_cell_angle_gamma 84.12
loop_
_space_group_symop_operation_xyz
'x,y,z'
loop_
_atom_site_label
_atom_site_type_symbol
_atom_site_fract_x
_atom_site_fract_y
_atom_site_fract_z
In1 In 0.132 0.465 0.303
In2 In 0.868 0.535 0.697
Pb1 Pb 0.000 0.000 0.500
Pb2 Pb 0.065 0.731 0.902
Pb3 Pb 0.200 0.204 0.696
Pb4 Pb 0.265 0.929 0.100
Pb5 Pb 0.330 0.666 0.499
Pb6 Pb 0.399 0.400 0.902
Pb7 Pb 0.468 0.135 0.300
Pb8 Pb 0.532 0.865 0.700
Pb9 Pb 0.601 0.600 0.098
Pb10 Pb 0.670 0.334 0.501
Pb11 Pb 0.735 0.071 0.900
Pb12 Pb 0.800 0.796 0.304
Pb13 Pb 0.935 0.269 0.098
```

Its symmetry is P-1, No. 2. As for the formation energy: 0.002 eV per atom.

# 6
VASP calculation (PBE) on an optimized crystal structure of BeZn2As.

Structure (CIF):
```
data_BeZn2As
_chemical_formula_sum 'Be1 Zn2 As1'
_space_group_name_H-M_alt 'P 1'
_space_group_IT_number 1
_cell_length_a 2.851
_cell_length_b 3.874
_cell_length_c 5.407
_cell_angle_alpha 90.00
_cell_angle_beta 90.00
_cell_angle_gamma 90.00
loop_
_space_group_symop_operation_xyz
'x,y,z'
loop_
_atom_site_label
_atom_site_type_symbol
_atom_site_fract_x
_atom_site_fract_y
_atom_site_fract_z
Be1 Be 0.000 0.000 0.000
Zn1 Zn 0.500 0.500 0.227
Zn2 Zn 0.500 0.500 0.773
As1 As 0.000 0.000 0.500
```

Its symmetry is Pmmm, No. 47. As for the formation energy: 0.307 eV per atom.

# 7
VASP calculation (PBE) on an optimized crystal structure of YAlI2N.

Structure (CIF):
```
data_YAlI2N
_chemical_formula_sum 'Y1 Al1 I2 N1'
_space_group_name_H-M_alt 'P 1'
_space_group_IT_number 1
_cell_length_a 6.242
_cell_length_b 6.242
_cell_length_c 4.156
_cell_angle_alpha 90.00
_cell_angle_beta 90.00
_cell_angle_gamma 90.00
loop_
_space_group_symop_operation_xyz
'x,y,z'
loop_
_atom_site_label
_atom_site_type_symbol
_atom_site_fract_x
_atom_site_fract_y
_atom_site_fract_z
Y1 Y 0.000 0.000 0.000
Al1 Al 0.500 0.500 0.500
I1 I 0.000 0.500 0.000
I2 I 0.500 0.000 0.000
N1 N 0.000 0.000 0.500
```

Its symmetry is P4/mmm, No. 123. For the formation energy without anion corrections, the calculation gives -0.122 eV per atom.

# 8
VASP calculation (PBE) on an optimized crystal structure of MgMoIr2.

Structure (CIF):
```
data_MgMoIr2
_chemical_formula_sum 'Mg4 Mo4 Ir8'
_space_group_name_H-M_alt 'P 1'
_space_group_IT_number 1
_cell_length_a 6.258
_cell_length_b 6.258
_cell_length_c 6.258
_cell_angle_alpha 90.00
_cell_angle_beta 90.00
_cell_angle_gamma 90.00
loop_
_space_group_symop_operation_xyz
'x,y,z'
loop_
_atom_site_label
_atom_site_type_symbol
_atom_site_fract_x
_atom_site_fract_y
_atom_site_fract_z
Mg1 Mg 0.000 0.000 0.000
Mg2 Mg 0.000 0.500 0.500
Mg3 Mg 0.500 0.000 0.500
Mg4 Mg 0.500 0.500 0.000
Mo1 Mo 0.250 0.250 0.750
Mo2 Mo 0.250 0.750 0.250
Mo3 Mo 0.750 0.250 0.250
Mo4 Mo 0.750 0.750 0.750
Ir1 Ir 0.000 0.000 0.500
Ir2 Ir 0.000 0.500 0.000
Ir3 Ir 0.250 0.250 0.250
Ir4 Ir 0.250 0.750 0.750
Ir5 Ir 0.500 0.000 0.000
Ir6 Ir 0.500 0.500 0.500
Ir7 Ir 0.750 0.250 0.750
Ir8 Ir 0.750 0.750 0.250
```

Its symmetry is F-43m, No. 216. As for the formation energy: 0.149 eV per atom.

# 9
VASP calculation (PBE) on an optimized crystal structure of Pm2TmCd4.

Structure (CIF):
```
data_Pm2TmCd4
_chemical_formula_sum 'Pm4 Tm2 Cd8'
_space_group_name_H-M_alt 'P 1'
_space_group_IT_number 1
_cell_length_a 5.571
_cell_length_b 5.571
_cell_length_c 15.829
_cell_angle_alpha 90.00
_cell_angle_beta 90.00
_cell_angle_gamma 90.00
loop_
_space_group_symop_operation_xyz
'x,y,z'
loop_
_atom_site_label
_atom_site_type_symbol
_atom_site_fract_x
_atom_site_fract_y
_atom_site_fract_z
Pm1 Pm 0.000 0.000 0.107
Pm2 Pm 0.000 0.000 0.893
Pm3 Pm 0.500 0.500 0.393
Pm4 Pm 0.500 0.500 0.607
Tm1 Tm 0.000 0.000 0.500
Tm2 Tm 0.500 0.500 0.000
Cd1 Cd 0.000 0.000 0.310
Cd2 Cd 0.000 0.000 0.690
Cd3 Cd 0.000 0.500 0.000
Cd4 Cd 0.000 0.500 0.500
Cd5 Cd 0.500 0.000 0.000
Cd6 Cd 0.500 0.000 0.500
Cd7 Cd 0.500 0.500 0.190
Cd8 Cd 0.500 0.500 0.810
```

Its symmetry is I4/mmm, No. 139. As for the formation energy: 0.229 eV per atom.

# 10
VASP calculation (PBE) on an optimized crystal structure of Er5Sb2Ir.

Structure (CIF):
```
data_Er5Sb2Ir
_chemical_formula_sum 'Er10 Sb4 Ir2'
_space_group_name_H-M_alt 'P 1'
_space_group_IT_number 1
_cell_length_a 5.416
_cell_length_b 5.416
_cell_length_c 16.095
_cell_angle_alpha 90.00
_cell_angle_beta 90.00
_cell_angle_gamma 115.69
loop_
_space_group_symop_operation_xyz
'x,y,z'
loop_
_atom_site_label
_atom_site_type_symbol
_atom_site_fract_x
_atom_site_fract_y
_atom_site_fract_z
Er1 Er 0.064 0.936 0.596
Er2 Er 0.064 0.936 0.904
Er3 Er 0.247 0.753 0.250
Er4 Er 0.402 0.598 0.640
Er5 Er 0.402 0.598 0.860
Er6 Er 0.598 0.402 0.140
Er7 Er 0.598 0.402 0.360
Er8 Er 0.753 0.247 0.750
Er9 Er 0.936 0.064 0.096
Er10 Er 0.936 0.064 0.404
Sb1 Sb 0.281 0.719 0.058
Sb2 Sb 0.281 0.719 0.442
Sb3 Sb 0.719 0.281 0.558
Sb4 Sb 0.719 0.281 0.942
Ir1 Ir 0.161 0.839 0.750
Ir2 Ir 0.839 0.161 0.250
```

Its symmetry is Cmcm, No. 63. For the formation energy without anion corrections, the calculation gives -0.540 eV per atom.

# 11
VASP calculation (PBE) on an optimized crystal structure of AcEuEr.

Structure (CIF):
```
data_AcEuEr
_chemical_formula_sum 'Ac1 Eu1 Er1'
_space_group_name_H-M_alt 'P 1'
_space_group_IT_number 1
_cell_length_a 3.805
_cell_length_b 3.805
_cell_length_c 9.216
_cell_angle_alpha 90.00
_cell_angle_beta 90.00
_cell_angle_gamma 120.00
loop_
_space_group_symop_operation_xyz
'x,y,z'
loop_
_atom_site_label
_atom_site_type_symbol
_atom_site_fract_x
_atom_site_fract_y
_atom_site_fract_z
Ac1 Ac 0.000 0.000 0.000
Eu1 Eu 0.667 0.333 0.359
Er1 Er 0.333 0.667 0.682
```

Its symmetry is P3m1, No. 156. As for the formation energy: 0.067 eV per atom.

# 12
VASP calculation (PBE) on an optimized crystal structure of Cs2CuGeO4.

Structure (CIF):
```
data_Cs2CuGeO4
_chemical_formula_sum 'Cs4 Cu2 Ge2 O8'
_space_group_name_H-M_alt 'P 1'
_space_group_IT_number 1
_cell_length_a 12.528
_cell_length_b 11.161
_cell_length_c 6.817
_cell_angle_alpha 84.69
_cell_angle_beta 62.50
_cell_angle_gamma 32.81
loop_
_space_group_symop_operation_xyz
'x,y,z'
loop_
_atom_site_label
_atom_site_type_symbol
_atom_site_fract_x
_atom_site_fract_y
_atom_site_fract_z
Cs1 Cs 0.051 0.051 0.699
Cs2 Cs 0.301 0.301 0.949
Cs3 Cs 0.699 0.699 0.051
Cs4 Cs 0.949 0.949 0.301
Cu1 Cu 0.375 0.375 0.375
Cu2 Cu 0.625 0.625 0.625
Ge1 Ge 0.125 0.125 0.125
Ge2 Ge 0.875 0.875 0.875
O1 O 0.028 0.304 0.385
O2 O 0.217 0.615 0.696
O3 O 0.304 0.028 0.783
O4 O 0.385 0.783 0.028
O5 O 0.615 0.217 0.972
O6 O 0.696 0.972 0.217
O7 O 0.783 0.385 0.304
O8 O 0.972 0.696 0.615
```

Its symmetry is Fddd, No. 70. For the formation energy without anion corrections, the calculation gives -1.345 eV per atom.

VASP energy readings, ordered: -4.67; -3.76; -3.83; -4.55; -3.58; -2.42; -4.45; -7.39; -2.29; -5.53; -6.25; -5.13 eV per atom